Model w:
CsInTe3Pd (GGA-PBE, relaxed); SG = Pnma (62)
1.0
-15.4883 5.1313 0.0422
-0.6389 -1.8947 -4.0978
-3.4360 -10.4153 5.3514
Te Cs Pd In
12 4 4 4
Direct
0.0972 0.2500 0.5807
0.1165 0.7500 0.2496
0.8835 0.2500 0.7504
0.9548 0.2500 0.1413
0.3835 0.2500 0.7496
0.5972 0.2500 0.9193
0.4548 0.2500 0.3587
0.4028 0.7500 0.0807
0.6165 0.7500 0.2504
0.0452 0.7500 0.8587
0.9028 0.7500 0.4193
0.5452 0.7500 0.6413
0.7201 0.2500 0.4834
0.7799 0.7500 0.9834
0.2201 0.2500 0.0166
0.2799 0.7500 0.5166
0.0218 0.7500 0.0728
0.5218 0.7500 0.4272
0.9782 0.2500 0.9272
0.4782 0.2500 0.5728
0.9736 0.7500 0.6335
0.4736 0.7500 0.8665
0.5264 0.2500 0.1335
0.0264 0.2500 0.3665

=====

Model x:
CsInTe3Pd (GGA-PBE, relaxed); SG = P2_1/m (11)
1.0
10.2355 0.0000 0.0000
0.0000 4.2657 0.0000
-3.8999 0.0000 10.2167
Te Cs Pd In
6 2 2 2
Direct
0.8811 0.2500 0.6359
0.1189 0.7500 0.3641
0.5026 0.2500 0.6755
0.1878 0.2500 0.0305
0.8122 0.7500 0.9695
0.4974 0.7500 0.3245
0.2192 0.7500 0.7468
0.7808 0.2500 0.2532
0.9166 0.2500 0.8965
0.0834 0.7500 0.1035
0.3302 0.2500 0.4009
0.6698 0.7500 0.5991

=====

It comes down to model w, which is 45 meV/atom more stable than the next structure.

=====

Model w:
CsPrInSe3 (GGA-PBE, relaxed); SG = Pnma (62)
1.0
11.7024 0.0000 0.0000
0.0000 5.0703 0.0000
0.0000 0.0000 13.1662
Cs Se In Pr
4 12 4 4
Direct
0.3343 0.2500 0.9861
0.8343 0.2500 0.5139
0.6657 0.7500 0.0139
0.1657 0.7500 0.4861
0.7091 0.2500 0.7989
0.4528 0.7500 0.8071
0.0472 0.2500 0.3071
0.2909 0.7500 0.2011
0.4103 0.2500 0.4429
0.0897 0.7500 0.9429
0.9528 0.7500 0.6929
0.5897 0.7500 0.5571
0.9103 0.2500 0.0571
0.7909 0.7500 0.2989
0.5472 0.2500 0.1929
0.2091 0.2500 0.7011
0.2763 0.2500 0.2708
0.2237 0.7500 0.7708
0.7763 0.2500 0.2292
0.7237 0.7500 0.7292
0.4730 0.2500 0.6664
0.5270 0.7500 0.3336
0.9730 0.2500 0.8336
0.0270 0.7500 0.1664

=====

Model x:
CsPrInSe3 (GGA-PBE, relaxed); SG = Cmcm (63)
1.0
2.6992 5.6406 5.3220
-6.1894 -2.3115 -4.8758
-4.5973 -5.9822 8.6720
Se Pr In Cs
6 2 2 2
Direct
0.4381 0.5619 0.7500
0.8827 0.1173 0.4431
0.8827 0.1173 0.0569
0.1173 0.8827 0.5569
0.5619 0.4381 0.2500
0.1173 0.8827 0.9431
0.5000 0.5000 0.0000
0.5000 0.5000 0.5000
0.0172 0.9828 0.7500
0.9828 0.0172 0.2500
0.7523 0.2477 0.7500
0.2477 0.7523 0.2500

=====

It comes down to model x, which is 11 meV/atom more stable than the next structure.

=====

Model w:
CsInPt (GGA-PBE, relaxed); SG = F-43m (216)
1.0
-2.4664 -3.1502 -3.4777
-5.2422 -0.7168 0.3269
-3.1960 2.0968 -3.6729
In Cs Pt
1 1 1
Direct
0.0000 0.0000 0.0000
0.2500 0.2500 0.2500
0.7500 0.7500 0.7500

=====

Model x:
CsInPt (GGA-PBE, relaxed); SG = F-43m (216)
1.0
0.0000 3.8411 3.8411
3.8411 0.0000 3.8411
3.8411 3.8411 0.0000
Pt Cs In
1 1 1
Direct
0.7500 0.7500 0.7500
0.0000 0.0000 0.0000
0.2500 0.2500 0.2500

=====

Model y:
CsInPt (GGA-PBE, relaxed); SG = F-43m (216)
1.0
0.0000 3.7015 3.7015
3.7015 0.0000 3.7015
3.7015 3.7015 0.0000
Cs In Pt
1 1 1
Direct
0.2500 0.2500 0.2500
0.7500 0.7500 0.7500
0.0000 0.0000 0.0000

=====

It comes down to model y, which is 225 meV/atom more stable than the next structure.

=====

Model w:
CsInRe (GGA-PBE, relaxed); SG = F-43m (216)
1.0
-5.1946 1.5374 1.3430
-2.3201 4.4404 -2.4598
-4.1511 -0.6921 -3.6661
Cs In Re
1 1 1
Direct
0.0000 0.0000 0.0000
0.2500 0.2500 0.2500
0.7500 0.7500 0.7500

=====

Model x:
CsInRe (GGA-PBE, relaxed); SG = F-43m (216)
1.0
1.0082 -4.7698 1.8566
-2.2699 -1.6159 4.4103
-3.6801 -3.6939 -0.1622
Re Cs In
1 1 1
Direct
0.0000 0.0000 0.0000
0.2500 0.2500 0.2500
0.7500 0.7500 0.7500

=====

It comes down to model x, which is 577 meV/atom more stable than the next structure.

=====

Model w:
CsTmInSe3 (GGA-PBE, relaxed); SG = Cmcm (63)
1.0
2.1029 -8.3077 0.0000
2.1029 8.3077 0.0000
0.0000 0.0000 11.6262
Se In Tm Cs
6 2 2 2
Direct
0.5296 0.4704 0.7500
0.1156 0.8844 0.4821
0.8844 0.1156 0.9821
0.1156 0.8844 0.0179
0.4704 0.5296 0.2500
0.8844 0.1156 0.5179
0.0784 0.9216 0.2500
0.9216 0.0784 0.7500
0.5000 0.5000 0.5000
0.5000 0.5000 0.0000
0.2229 0.7771 0.7500
0.7771 0.2229 0.2500

=====

Model x:
CsTmInSe3 (GGA-PBE, relaxed); SG = Pnma (62)
1.0
16.6131 0.0000 0.0000
0.0000 4.0942 0.0000
0.0000 0.0000 11.9945
Se Cs In Tm
12 4 4 4
Direct
0.8816 0.7500 0.8259
0.4066 0.7500 0.2520
0.1184 0.2500 0.1741
0.9066 0.7500 0.2480
0.0934 0.2500 0.7520
0.9057 0.2500 0.5485
0.0943 0.7500 0.4515
0.5934 0.2500 0.7480
0.4057 0.2500 0.9515
0.6184 0.2500 0.3259
0.5943 0.7500 0.0485
0.3816 0.7500 0.6741
0.2305 0.7500 0.9318
0.2695 0.2500 0.4318
0.7695 0.2500 0.0682
0.7305 0.7500 0.5682
0.0239 0.7500 0.0986
0.5239 0.7500 0.4014
0.9761 0.2500 0.9014
0.4761 0.2500 0.5986
0.0007 0.2500 0.3571
0.9993 0.7500 0.6429
0.4993 0.7500 0.8571
0.5007 0.2500 0.1429

=====

It comes down to model x, which is 104 meV/atom more stable than the next structure.

=====

Model w:
CsTaIn (GGA-PBE, relaxed); SG = F-43m (216)
1.0
-0.3878 -5.6801 0.4819
1.8484 -2.5976 4.7415
-3.7506 -2.3089 3.6398
Ta In Cs
1 1 1
Direct
0.7500 0.7500 0.7500
0.2500 0.2500 0.2500
0.0000 0.0000 0.0000

=====

Model x:
CsTaIn (GGA-PBE, relaxed); SG = F-43m (216)
1.0
0.0000 3.6419 3.6419
3.6419 0.0000 3.6419
3.6419 3.6419 0.0000
In Ta Cs
1 1 1
Direct
0.7500 0.7500 0.7500
0.0000 0.0000 0.0000
0.2500 0.2500 0.2500

=====

It comes down to model x, which is 693 meV/atom more stable than the next structure.

=====

Model w:
CsTbInTe3 (GGA-PBE, relaxed); SG = Cmcm (63)
1.0
-4.1243 7.8202 0.5865
0.0893 -8.4432 -2.6859
-5.0463 -3.4659 10.7271
Tb Te In Cs
2 6 2 2
Direct
0.5000 0.5000 0.0000
0.5000 0.5000 0.5000
0.8767 0.1233 0.4731
0.1233 0.8767 0.9731
0.8767 0.1233 0.0269
0.1233 0.8767 0.5269
0.5503 0.4497 0.2500
0.4497 0.5503 0.7500
0.0585 0.9415 0.7500
0.9415 0.0585 0.2500
0.2468 0.7532 0.2500
0.7532 0.2468 0.7500

=====

Model x:
CsTbInTe3 (GGA-PBE, relaxed); SG = Pnma (62)
1.0
17.9170 0.0000 0.0000
0.0000 4.3688 0.0000
0.0000 0.0000 12.6507
Te Tb In Cs
12 4 4 4
Direct
0.1031 0.7500 0.0377
0.4107 0.7500 0.2461
0.3746 0.7500 0.8335
0.9107 0.7500 0.2539
0.0893 0.2500 0.7461
0.3969 0.2500 0.5377
0.5893 0.2500 0.7539
0.6031 0.7500 0.4623
0.6254 0.2500 0.1665
0.1254 0.2500 0.3335
0.8969 0.2500 0.9623
0.8746 0.7500 0.6665
0.5094 0.2500 0.3536
0.9906 0.7500 0.8536
0.4906 0.7500 0.6464
0.0094 0.2500 0.1464
0.9736 0.2500 0.5894
0.0264 0.7500 0.4106
0.4736 0.2500 0.9106
0.5264 0.7500 0.0894
0.2247 0.7500 0.5755
0.7247 0.7500 0.9245
0.7753 0.2500 0.4245
0.2753 0.2500 0.0755

=====

It comes down to model x, which is 62 meV/atom more stable than the next structure.

=====

Model w:
CsThIn (GGA-PBE, relaxed); SG = F-43m (216)
1.0
3.4497 0.0800 4.1361
4.6832 2.6229 -0.4493
0.8058 4.5627 2.7471
In Cs Th
1 1 1
Direct
0.7500 0.7500 0.7500
0.0000 0.0000 0.0000
0.2500 0.2500 0.2500

=====

Model x:
CsThIn (GGA-PBE, relaxed); SG = F-43m (216)
1.0
0.0000 4.0163 4.0163
4.0163 0.0000 4.0163
4.0163 4.0163 0.0000
Cs Th In
1 1 1
Direct
0.2500 0.2500 0.2500
0.7500 0.7500 0.7500
0.0000 0.0000 0.0000

=====

It comes down to model x, which is 352 meV/atom more stable than the next structure.

=====

Model w:
CsIr (GGA-PBE, relaxed); SG = F-43m (216)
1.0
0.0000 4.0989 4.0989
4.0989 0.0000 4.0989
4.0989 4.0989 0.0000
Cs Ir
1 1
Direct
0.0000 0.0000 0.0000
0.2500 0.2500 0.2500

=====

Model x:
CsIr (GGA-PBE, relaxed); SG = P-6m2 (187)
1.0
-0.0683 2.6845 -1.7551
0.6156 -2.8168 -1.4005
-5.6998 -0.7702 -0.9564
Ir Cs
1 1
Direct
0.3330 0.6660 0.2500
0.6670 0.3340 0.7500

=====

It comes down to model x, which is 681 meV/atom more stable than the next structure.

=====

Model w:
CsLiIr (GGA-PBE, relaxed); SG = F-43m (216)
1.0
0.0000 3.4423 3.4423
3.4423 0.0000 3.4423
3.4423 3.4423 0.0000
Cs Ir Li
1 1 1
Direct
0.2500 0.2500 0.2500
0.7500 0.7500 0.7500
0.0000 0.0000 0.0000

=====

Model x:
CsLiIr (GGA-PBE, relaxed); SG = F-43m (216)
1.0
-3.1124 -1.7019 -3.3263
-3.8623 2.6541 -1.2987
-0.1848 2.0245 -4.4176
Cs Ir Li
1 1 1
Direct
0.0000 0.0000 0.0000
0.2500 0.2500 0.2500
0.7500 0.7500 0.7500

=====

It comes down to model w, which is 391 meV/atom more stable than the next structure.

=====

Model w:
CsMgIr (GGA-PBE, relaxed); SG = F-43m (216)
1.0
0.0000 3.5247 3.5247
3.5247 0.0000 3.5247
3.5247 3.5247 0.0000
Cs Mg Ir
1 1 1
Direct
0.0000 0.0000 0.0000
0.7500 0.7500 0.7500
0.2500 0.2500 0.2500

=====

Model x:
CsMgIr (GGA-PBE, relaxed); SG = F-43m (216)
1.0
0.0000 3.4833 3.4833
3.4833 0.0000 3.4833
3.4833 3.4833 0.0000
Mg Ir Cs
1 1 1
Direct
0.7500 0.7500 0.7500
0.0000 0.0000 0.0000
0.2500 0.2500 0.2500

=====

It comes down to model x, which is 890 meV/atom more stable than the next structure.

=====

Model w:
CsMgMoIr (GGA-PBE, relaxed); SG = F-43m (216)
1.0
3.8931 2.8950 0.8102
0.3080 2.5988 4.1647
3.3078 -1.2287 3.4268
Mg Mo Cs Ir
1 1 1 1
Direct
0.7500 0.7500 0.7500
0.0000 0.0000 0.0000
0.2500 0.2500 0.2500
0.5000 0.5000 0.5000

=====

Model x:
CsMgMoIr (GGA-PBE, relaxed); SG = F-43m (216)
1.0
-1.1385 0.2295 4.6970
-1.8811 4.0615 1.8377
-4.6415 0.1164 1.3614
Cs Mg Mo Ir
1 1 1 1
Direct
0.0000 0.0000 0.0000
0.7500 0.7500 0.7500
0.2500 0.2500 0.2500
0.5000 0.5000 0.5000

=====

It comes down to model x, which is 307 meV/atom more stable than the next structure.